1.
A plane-wave DFT calculation with PBE was carried out for crystalline CsGaTeI2 at its relaxed geometry.

Cell lengths 7.190, 7.190, 6.931 Å; angles 90.00, 90.00, 90.00 degrees
Fractional coordinates of all 5 atoms:
Cs  0.000  0.000  0.000
Ga  0.500  0.500  0.500
Te  0.000  0.000  0.500
I  0.000  0.500  0.000
I  0.500  0.000  0.000

Properties
The value obtained for the density of states at the Fermi level is 7.707 states/eV per cell. As for the offset from the most stable computed form: 0.771 eV/atom. The value obtained for the formation energy without anion corrections is 0.16 eV per atom.

***

2.
A plane-wave DFT calculation with PBE was carried out for crystalline La4PrAu2 at its relaxed geometry.

Cell lengths 7.968, 6.832, 8.659 Å; angles 90.00, 110.80, 90.00 degrees
Fractional coordinates of all 14 atoms:
La  0.007  0.250  0.394
La  0.223  0.750  0.345
La  0.400  0.015  0.765
La  0.400  0.485  0.765
La  0.600  0.515  0.235
La  0.600  0.985  0.235
La  0.777  0.250  0.655
La  0.993  0.750  0.606
Pr  0.149  0.250  0.029
Pr  0.851  0.750  0.971
Au  0.245  0.750  0.994
Au  0.386  0.250  0.410
Au  0.614  0.750  0.590
Au  0.755  0.250  0.006

Properties
The value obtained for the density of states at the Fermi level is 20.092 states/eV per cell. The formation enthalpy at 0 K is -38.1 kJ/mol of atoms.

***

3.
A plane-wave DFT calculation with PBE was carried out for crystalline Ce2PaCd at its relaxed geometry.

Cell lengths 10.006, 10.006, 10.006 Å; angles 22.41, 22.41, 22.41 degrees
Fractional coordinates of all 4 atoms:
Ce  0.113  0.113  0.113
Ce  0.887  0.887  0.887
Pa  0.500  0.500  0.500
Cd  0.000  0.000  0.000

Properties
The value obtained for the density of states at the Fermi level is 9.782 states/eV per cell. The formation enthalpy at 0 K is 58.3 kJ/mol of atoms. As for the offset from the most stable computed form: 0.661 eV/atom.

***

4.
A plane-wave DFT calculation with PBE was carried out for crystalline Tl7In2Hg2 at its relaxed geometry.

Cell lengths 5.764, 5.764, 10.464 Å; angles 90.13, 90.13, 108.85 degrees
Fractional coordinates of all 11 atoms:
Tl  0.000  0.000  0.000
Tl  0.187  0.567  0.146
Tl  0.259  0.259  0.703
Tl  0.433  0.813  0.854
Tl  0.567  0.187  0.146
Tl  0.741  0.741  0.297
Tl  0.813  0.433  0.854
In  0.268  0.732  0.500
In  0.732  0.268  0.500
Hg  0.201  0.201  0.375
Hg  0.799  0.799  0.625

Properties
The value obtained for the density of states at the Fermi level is 4.876 states/eV per cell. The formation enthalpy at 0 K is 2.9 kJ/mol of atoms. As for the offset from the most stable computed form: 0.000 eV/atom.

***

5.
A plane-wave DFT calculation with PBE was carried out for crystalline SrZn2Cu2 at its relaxed geometry.

Cell lengths 5.762, 6.348, 6.861 Å; angles 86.33, 65.55, 63.26 degrees
Fractional coordinates of all 10 atoms:
Sr  0.131  0.249  0.251
Sr  0.869  0.751  0.749
Zn  0.231  0.127  0.718
Zn  0.433  0.624  0.214
Zn  0.567  0.376  0.786
Zn  0.769  0.873  0.282
Cu  0.227  0.809  0.960
Cu  0.495  0.692  0.541
Cu  0.505  0.308  0.459
Cu  0.773  0.191  0.040

Properties
The value obtained for the density of states at the Fermi level is 3.222 states/eV per cell. The formation enthalpy at 0 K is -13.9 kJ/mol of atoms. As for the offset from the most stable computed form: 0.000 eV/atom.

***

6.
A plane-wave DFT calculation with PBE was carried out for crystalline LaZnB at its relaxed geometry.

Cell lengths 5.790, 5.790, 5.790 Å; angles 130.67, 127.00, 75.31 degrees
Fractional coordinates of all 6 atoms:
La  0.174  0.174  0.000
La  0.826  0.826  0.000
Zn  0.500  0.246  0.746
Zn  0.500  0.754  0.254
B  0.156  0.500  0.656
B  0.844  0.500  0.344

Properties
The value obtained for the density of states at the Fermi level is 2.183 states/eV per cell. The formation enthalpy at 0 K is -18.1 kJ/mol of atoms. As for the offset from the most stable computed form: 0.115 eV/atom.

***

7.
A plane-wave DFT calculation with PBE was carried out for crystalline PuTi2O8 at its relaxed geometry.

Cell lengths 5.597, 5.597, 5.509 Å; angles 108.26, 108.26, 61.13 degrees
Fractional coordinates of all 11 atoms:
Pu  0.000  0.000  0.000
Ti  0.325  0.325  0.500
Ti  0.675  0.675  0.500
O  0.059  0.608  0.722
O  0.106  0.106  0.797
O  0.392  0.941  0.278
O  0.440  0.440  0.300
O  0.560  0.560  0.700
O  0.608  0.059  0.722
O  0.894  0.894  0.203
O  0.941  0.392  0.278

Properties
The value obtained for the density of states at the Fermi level is 1.075 states/eV per cell. The value obtained for the formation energy without anion corrections is -2.36 eV per atom.

***

8.
A plane-wave DFT calculation with PBE was carried out for crystalline Mo2SCl at its relaxed geometry.

Cell lengths 4.311, 4.311, 4.311 Å; angles 60.00, 60.00, 60.00 degrees
Fractional coordinates of all 4 atoms:
Mo  0.250  0.250  0.250
Mo  0.750  0.750  0.750
S  0.000  0.000  0.000
Cl  0.500  0.500  0.500

Properties
The value obtained for the density of states at the Fermi level is 2.913 states/eV per cell. As for the offset from the most stable computed form: 0.000 eV/atom. The value obtained for the formation energy without anion corrections is 0.37 eV per atom.

***

9.
A plane-wave DFT calculation with PBE was carried out for crystalline RbLiHoCl5 at its relaxed geometry.

Cell lengths 7.561, 7.561, 10.055 Å; angles 103.81, 103.81, 106.97 degrees
Fractional coordinates of all 16 atoms:
Rb  0.159  0.841  0.750
Rb  0.841  0.159  0.250
Li  0.190  0.810  0.250
Li  0.810  0.190  0.750
Ho  0.500  0.500  0.000
Ho  0.500  0.500  0.500
Cl  0.133  0.262  0.918
Cl  0.203  0.601  0.397
Cl  0.262  0.133  0.418
Cl  0.399  0.797  0.103
Cl  0.430  0.570  0.750
Cl  0.570  0.430  0.250
Cl  0.601  0.203  0.897
Cl  0.738  0.867  0.582
Cl  0.797  0.399  0.603
Cl  0.867  0.738  0.082

Properties
The value obtained for the density of states at the Fermi level is 0.000 states/eV per cell. The value obtained for the formation energy without anion corrections is -2.11 eV per atom.

***

10.
A plane-wave DFT calculation with PBE was carried out for crystalline BaNaCa2Ga at its relaxed geometry.

Cell lengths 5.959, 5.959, 6.425 Å; angles 90.00, 90.00, 90.00 degrees
Fractional coordinates of all 5 atoms:
Ba  0.000  0.000  0.000
Na  0.500  0.500  0.000
Ca  0.000  0.500  0.500
Ca  0.500  0.000  0.500
Ga  0.000  0.000  0.500

Properties
The value obtained for the density of states at the Fermi level is 3.753 states/eV per cell. The formation enthalpy at 0 K is -6.2 kJ/mol of atoms. As for the offset from the most stable computed form: 0.000 eV/atom.

***

11.
A plane-wave DFT calculation with PBE was carried out for crystalline MnAl2W at its relaxed geometry.

Cell lengths 2.758, 3.757, 5.638 Å; angles 90.00, 90.00, 90.00 degrees
Fractional coordinates of all 4 atoms:
Mn  0.000  0.000  0.000
Al  0.500  0.500  0.241
Al  0.500  0.500  0.759
W  0.000  0.000  0.500

Properties
The value obtained for the density of states at the Fermi level is 1.648 states/eV per cell. The formation enthalpy at 0 K is -6.4 kJ/mol of atoms. As for the offset from the most stable computed form: 0.104 eV/atom.

***

12.
A plane-wave DFT calculation with PBE was carried out for crystalline Tb4BiPb2 at its relaxed geometry.

Cell lengths 6.249, 6.636, 10.410 Å; angles 90.00, 98.59, 90.00 degrees
Fractional coordinates of all 14 atoms:
Tb  0.034  0.250  0.167
Tb  0.137  0.750  0.450
Tb  0.426  0.006  0.731
Tb  0.426  0.494  0.731
Tb  0.574  0.506  0.269
Tb  0.574  0.994  0.269
Tb  0.863  0.250  0.550
Tb  0.966  0.750  0.833
Bi  0.044  0.750  0.153
Bi  0.956  0.250  0.847
Pb  0.312  0.250  0.457
Pb  0.497  0.250  0.007
Pb  0.503  0.750  0.993
Pb  0.688  0.750  0.543

Properties
The value obtained for the density of states at the Fermi level is 6.621 states/eV per cell. The formation enthalpy at 0 K is -45.1 kJ/mol of atoms.

***

13.
A plane-wave DFT calculation with PBE was carried out for crystalline Pr2NdMg at its relaxed geometry.

Cell lengths 12.901, 12.901, 12.901 Å; angles 15.87, 15.87, 15.87 degrees
Fractional coordinates of all 4 atoms:
Pr  0.088  0.088  0.088
Pr  0.912  0.912  0.912
Nd  0.500  0.500  0.500
Mg  0.000  0.000  0.000

Properties
The value obtained for the density of states at the Fermi level is 4.791 states/eV per cell. The formation enthalpy at 0 K is 18.9 kJ/mol of atoms. As for the offset from the most stable computed form: 0.239 eV/atom.

***

14.
A plane-wave DFT calculation with PBE was carried out for crystalline GdHoCdCo at its relaxed geometry.

Cell lengths 5.050, 5.050, 5.050 Å; angles 60.00, 60.00, 60.00 degrees
Fractional coordinates of all 4 atoms:
Gd  0.000  0.000  0.000
Ho  0.500  0.500  0.500
Cd  0.250  0.250  0.250
Co  0.750  0.750  0.750

Properties
The value obtained for the density of states at the Fermi level is 2.859 states/eV per cell. The formation enthalpy at 0 K is -13.2 kJ/mol of atoms.

***

15.
A plane-wave DFT calculation with PBE was carried out for crystalline K2Tl2Se at its relaxed geometry.

Cell lengths 8.096, 8.096, 5.664 Å; angles 90.00, 90.00, 90.00 degrees
Fractional coordinates of all 10 atoms:
K  0.185  0.315  0.000
K  0.315  0.815  0.000
K  0.685  0.185  0.000
K  0.815  0.685  0.000
Tl  0.134  0.634  0.500
Tl  0.366  0.134  0.500
Tl  0.634  0.866  0.500
Tl  0.866  0.366  0.500
Se  0.000  0.000  0.500
Se  0.500  0.500  0.500

Properties
The value obtained for the density of states at the Fermi level is 4.467 states/eV per cell. As for the offset from the most stable computed form: 0.000 eV/atom. The value obtained for the formation energy without anion corrections is -0.30 eV per atom.

***

16.
A plane-wave DFT calculation with PBE was carried out for crystalline Li5Ga3Au at its relaxed geometry.

Cell lengths 5.917, 5.917, 10.355 Å; angles 97.75, 97.75, 77.59 degrees
Fractional coordinates of all 18 atoms:
Li  0.019  0.019  0.363
Li  0.092  0.470  0.326
Li  0.168  0.832  0.000
Li  0.235  0.235  0.841
Li  0.470  0.092  0.326
Li  0.530  0.908  0.674
Li  0.765  0.765  0.159
Li  0.832  0.168  0.000
Li  0.908  0.530  0.674
Li  0.981  0.981  0.637
Ga  0.245  0.245  0.557
Ga  0.259  0.259  0.095
Ga  0.500  0.500  0.000
Ga  0.500  0.500  0.500
Ga  0.741  0.741  0.905
Ga  0.755  0.755  0.443
Au  0.482  0.482  0.747
Au  0.518  0.518  0.253

Properties
The value obtained for the density of states at the Fermi level is 4.871 states/eV per cell. The formation enthalpy at 0 K is -15.5 kJ/mol of atoms.